Computed, not measured: DyW2O8 after structural relaxation at the PBE with a Hubbard U level of DFT.

Values from the calculation:
**Total DFT energy (no corrections)**: -7.16 eV per atom

Lattice parameters (Å, degrees): 4.8549 4.8549 6.5033 111.92 111.92 90.00
Last column: nearest neighbours and their distance in Å.
Positions (direct):
W1 0.7500 0.2500 0.5000  8 O 2.08
O1 0.3963 0.3963 0.2886  2 W 2.08
O2 0.6037 0.1077 0.7114  2 W 2.08
O3 0.1077 0.1077 0.7114  2 W 2.08
O4 0.6037 0.6037 0.7114  2 W 2.08
O5 0.8923 0.8923 0.2886  2 W 2.08
Dy1 0.5000 0.5000 0.0000  8 O 2.33
W2 0.2500 0.7500 0.5000  8 O 2.08
O6 0.3963 0.8923 0.2886  2 W 2.08
O7 0.8923 0.3963 0.2886  2 W 2.08
O8 0.1077 0.6037 0.7114  2 W 2.08